No. 1
Material: Mg2Sc2S
Method: DFT, PBE
State: optimized geometry

## Properties
- Density: 2.42 g/cm³
- Formation energy (no corrections): -0.54 eV per atom
- Symmetry: P4/mbm (127)

Unit cell a=6.705 b=6.705 c=5.200 alpha=90.00 beta=90.00 gamma=90.00
Element x y z (fractional)
Mg (0.649, 0.851, 0.500)
Mg (0.149, 0.649, 0.500)
Mg (0.851, 0.351, 0.500)
Mg (0.351, 0.149, 0.500)
Sc (0.836, 0.664, 0.000)
Sc (0.164, 0.336, 0.000)
Sc (0.664, 0.164, 0.000)
Sc (0.336, 0.836, 0.000)
S (0.000, 0.000, 0.000)
S (0.500, 0.500, 0.000)

No. 2
Material: Tb2PmPaRu2
Method: DFT, PBE
State: optimized geometry

## Properties
- ΔH_f (0 K): -264.3 meV/atom
- Density: 9.15 g/cm³
- Symmetry: Ibam (72)

Unit cell a=6.754 b=7.092 c=8.369 alpha=115.07 beta=113.80 gamma=90.00
Element x y z (fractional)
Tb (0.799, 0.476, 0.599)
Tb (0.201, 0.524, 0.401)
Tb (0.299, 0.123, 0.599)
Tb (0.701, 0.877, 0.401)
Ru (0.102, 0.801, 0.203)
Ru (0.898, 0.199, 0.797)
Ru (0.398, 0.598, 0.797)
Ru (0.602, 0.402, 0.203)
Pa (0.250, 0.500, 0.000)
Pa (0.750, 0.500, 0.000)
Pm (0.250, 0.000, 0.000)
Pm (0.750, 0.000, 0.000)

No. 3
Material: TbY3Co
Method: DFT, PBE
State: optimized geometry

## Properties
- ΔH_f (0 K): -99.0 meV/atom
- Density: 5.67 g/cm³
- Symmetry: C2/m (12)

Unit cell a=7.183 b=7.183 c=7.160 alpha=109.16 beta=110.63 gamma=108.77
Element x y z (fractional)
Co (0.625, 0.751, 0.377)
Co (0.375, 0.249, 0.623)
Y (0.246, 0.452, 0.293)
Y (0.706, 0.452, 0.158)
Y (0.159, 0.954, 0.707)
Y (0.841, 0.046, 0.293)
Y (0.294, 0.548, 0.842)
Y (0.754, 0.548, 0.707)
Tb (0.707, 0.046, 0.753)
Tb (0.293, 0.954, 0.247)